1.
First-principles (PBE) data for a geometry-optimized LaTbZnRh structure, as listed in the Alexandria database.

The structure in CIF format:
```
data_LaTbZnRh
_chemical_formula_sum 'La2 Tb2 Zn2 Rh2'
_cell_length_a 4.551
_cell_length_b 4.001
_cell_length_c 10.599
_cell_angle_alpha 90.00
_cell_angle_beta 90.00
_cell_angle_gamma 90.00
_space_group_name_H-M_alt 'A m m 2'
_space_group_IT_number 38
_space_group_name_Hall 'A 2 -2'
loop_
_atom_site_label
_atom_site_type_symbol
_atom_site_fract_x
_atom_site_fract_y
_atom_site_fract_z
La1 La 0.000 0.000 0.000
Tb1 Tb 0.500 0.000 0.282
Zn1 Zn 0.500 0.000 0.576
Rh1 Rh 0.000 0.000 0.722
```

ΔE to the lowest computed polymorph ... 0.000 eV/atom
ΔE_f ... -542 meV/atom
D(E_F) ... 3.30 states/eV/f.u.
M_tot ... 0.00 μB/atom
Final energy ... -5.088 eV/atom

=====

2.
First-principles (PBE) data for a geometry-optimized Tb2DyYEr2 structure, as listed in the Alexandria database.

The structure in CIF format:
```
data_Tb2DyYEr2
_chemical_formula_sum 'Tb4 Dy2 Y2 Er4'
_cell_length_a 6.520
_cell_length_b 17.699
_cell_length_c 3.373
_cell_angle_alpha 90.00
_cell_angle_beta 90.00
_cell_angle_gamma 90.00
_space_group_name_H-M_alt 'P n n m'
_space_group_IT_number 58
_space_group_name_Hall '-P 2 2n'
loop_
_atom_site_label
_atom_site_type_symbol
_atom_site_fract_x
_atom_site_fract_y
_atom_site_fract_z
Tb1 Tb 0.229 0.185 0.000
Dy1 Dy 0.000 0.500 0.000
Y1 Y 0.000 0.000 0.000
Er1 Er 0.227 0.353 0.500
```

ΔE_f ... 277 meV/atom
D(E_F) ... 9.28 states/eV/f.u.
M_tot ... 0.00 μB/atom
Final energy ... -4.632 eV/atom